Record 1
BaAlCd2Ag4 | GGA-PBE | relaxed

Results
Its calculated volume is 189 Å³ per cell. The uncorrected energy comes out at -2.459 eV per atom.

Cell: 10.001 10.001 10.001 Å, 27.59 27.59 27.59°
Sites, in units of the cell vectors:
Ba 0.000 0.000 0.000
Al 0.500 0.500 0.500
Cd 0.241 0.241 0.241
Cd 0.759 0.759 0.759
Ag 0.138 0.138 0.138
Ag 0.409 0.409 0.409
Ag 0.591 0.591 0.591
Ag 0.862 0.862 0.862


Record 2
Fe2CuW | GGA-PBE | relaxed

Results
The value obtained for the energy above the lowest structure with this stoichiometry is 66 meV/atom. Its calculated volume is 50 Å³ per cell. The uncorrected energy comes out at -8.260 eV per atom.

Cell: 2.649 3.682 5.153 Å, 90.00 90.00 90.00°
Sites, in units of the cell vectors:
Fe 0.000 0.000 0.000
Fe 0.500 0.500 0.245
Cu 0.500 0.500 0.763
W 0.000 0.000 0.485


Record 3
Zr2PaBe | GGA-PBE | relaxed

Results
The value obtained for the energy above the lowest structure with this stoichiometry is 0 meV/atom. Its calculated volume is 80 Å³ per cell. The uncorrected energy comes out at -7.527 eV per atom.

Cell: 3.087 3.087 8.433 Å, 90.00 90.00 90.00°
Sites, in units of the cell vectors:
Zr 0.000 0.000 0.199
Zr 0.000 0.000 0.801
Pa 0.500 0.500 0.500
Be 0.500 0.500 0.000


Record 4
Li2Ca3Sb4Pb2 | GGA-PBE | relaxed

Results
Its calculated volume is 327 Å³ per cell. The value obtained for the uncorrected formation energy is -0.67 eV/atom. The uncorrected energy comes out at -3.738 eV per atom.

Cell: 4.642 4.642 17.512 Å, 90.00 90.00 120.00°
Sites, in units of the cell vectors:
Li 0.333 0.667 0.115
Li 0.667 0.333 0.885
Ca 0.000 0.000 0.000
Ca 0.000 0.000 0.225
Ca 0.000 0.000 0.775
Sb 0.333 0.667 0.328
Sb 0.333 0.667 0.888
Sb 0.667 0.333 0.112
Sb 0.667 0.333 0.672
Pb 0.333 0.667 0.583
Pb 0.667 0.333 0.417


Record 5
LiCa2PaO6 | GGA-PBE | relaxed

Results
Its calculated volume is 143 Å³ per cell. The value obtained for the uncorrected formation energy is -2.58 eV/atom. The uncorrected energy comes out at -7.094 eV per atom.

Cell: 5.946 5.946 5.946 Å, 58.39 58.39 58.39°
Sites, in units of the cell vectors:
Li 0.000 0.000 0.000
Ca 0.269 0.269 0.269
Ca 0.774 0.774 0.774
Pa 0.486 0.486 0.486
O 0.129 0.360 0.697
O 0.215 0.839 0.617
O 0.360 0.697 0.129
O 0.617 0.215 0.839
O 0.697 0.129 0.360
O 0.839 0.617 0.215


Record 6
LaAlAu6 | GGA-PBE | relaxed

Results
Its calculated volume is 169 Å³ per cell. The uncorrected energy comes out at -3.969 eV per atom.

Cell: 4.142 4.142 9.861 Å, 90.00 90.00 90.00°
Sites, in units of the cell vectors:
La 0.000 0.000 0.000
Al 0.000 0.000 0.500
Au 0.000 0.500 0.338
Au 0.000 0.500 0.662
Au 0.500 0.000 0.338
Au 0.500 0.000 0.662
Au 0.500 0.500 0.137
Au 0.500 0.500 0.863


Record 7
ErBe2GaPt4 | GGA-PBE | relaxed

Results
Its calculated volume is 126 Å³ per cell. The uncorrected energy comes out at -5.633 eV per atom.

Cell: 9.030 9.030 9.030 Å, 26.10 26.10 26.10°
Sites, in units of the cell vectors:
Er 0.000 0.000 0.000
Be 0.251 0.251 0.251
Be 0.749 0.749 0.749
Ga 0.500 0.500 0.500
Pt 0.128 0.128 0.128
Pt 0.402 0.402 0.402
Pt 0.598 0.598 0.598
Pt 0.872 0.872 0.872


Record 8
Sb6IrAu | GGA-PBE | relaxed

Results
Its calculated volume is 446 Å³ per cell. The value obtained for the uncorrected formation energy is -0.13 eV/atom. The uncorrected energy comes out at -4.738 eV per atom.

Cell: 8.273 8.273 9.630 Å, 124.66 124.66 70.50°
Sites, in units of the cell vectors:
Sb 0.144 0.838 0.645
Sb 0.162 0.856 0.355
Sb 0.193 0.503 0.838
Sb 0.334 0.334 0.486
Sb 0.359 0.359 0.205
Sb 0.497 0.807 0.162
Sb 0.503 0.193 0.838
Sb 0.641 0.641 0.795
Sb 0.666 0.666 0.514
Sb 0.807 0.497 0.162
Sb 0.838 0.144 0.645
Sb 0.856 0.162 0.355
Ir 0.000 0.500 0.500
Ir 0.500 0.000 0.500
Au 0.000 0.500 0.000
Au 0.500 0.000 0.000


Record 9
LiMnCo | GGA-PBE | relaxed

Results
The value obtained for the energy above the lowest structure with this stoichiometry is 53 meV/atom. Its calculated volume is 68 Å³ per cell. The uncorrected energy comes out at -5.771 eV per atom.

Cell: 5.092 5.092 3.758 Å, 90.00 90.00 135.88°
Sites, in units of the cell vectors:
Li 0.250 0.750 0.750
Li 0.750 0.250 0.250
Mn 0.063 0.937 0.250
Mn 0.937 0.063 0.750
Co 0.425 0.575 0.250
Co 0.575 0.425 0.750


Record 10
Th2TaAl2Os5 | GGA-PBE | relaxed

Results
Its calculated volume is 357 Å³ per cell. The uncorrected energy comes out at -9.323 eV per atom.

Cell: 10.333 10.333 3.347 Å, 90.00 90.00 90.00°
Sites, in units of the cell vectors:
Th 0.174 0.326 0.000
Th 0.326 0.826 0.000
Th 0.674 0.174 0.000
Th 0.826 0.674 0.000
Ta 0.000 0.000 0.000
Ta 0.500 0.500 0.000
Al 0.125 0.625 0.000
Al 0.375 0.125 0.000
Al 0.625 0.875 0.000
Al 0.875 0.375 0.000
Os 0.000 0.500 0.500
Os 0.065 0.796 0.500
Os 0.204 0.065 0.500
Os 0.296 0.565 0.500
Os 0.435 0.296 0.500
Os 0.500 0.000 0.500
Os 0.565 0.704 0.500
Os 0.704 0.435 0.500
Os 0.796 0.935 0.500
Os 0.935 0.204 0.500


Record 11
CaMnCo | GGA-PBE | relaxed

Results
The value obtained for the energy above the lowest structure with this stoichiometry is 13 meV/atom. Its calculated volume is 111 Å³ per cell. The uncorrected energy comes out at -5.884 eV per atom.

Cell: 4.770 4.314 5.502 Å, 90.00 102.48 90.00°
Sites, in units of the cell vectors:
Ca 0.229 0.250 0.415
Ca 0.771 0.750 0.585
Mn 0.355 0.750 0.991
Mn 0.645 0.250 0.009
Co 0.119 0.250 0.916
Co 0.881 0.750 0.084


Record 12
SbPt2Cl | GGA-PBE | relaxed

Results
The value obtained for the energy above the lowest structure with this stoichiometry is 384 meV/atom. Its calculated volume is 74 Å³ per cell. The value obtained for the uncorrected formation energy is 0.21 eV/atom. The uncorrected energy comes out at -4.301 eV per atom.

Cell: 4.710 4.710 4.710 Å, 60.00 60.00 60.00°
Sites, in units of the cell vectors:
Sb 0.000 0.000 0.000
Pt 0.250 0.250 0.250
Pt 0.750 0.750 0.750
Cl 0.500 0.500 0.500


Record 13
YCu2IO | GGA-PBE | relaxed

Results
Its calculated volume is 106 Å³ per cell. The value obtained for the uncorrected formation energy is 0.42 eV/atom. The uncorrected energy comes out at -3.816 eV per atom.

Cell: 4.978 4.978 4.263 Å, 90.00 90.00 90.00°
Sites, in units of the cell vectors:
Y 0.000 0.000 0.000
Cu 0.000 0.500 0.500
Cu 0.500 0.000 0.500
I 0.500 0.500 0.500
O 0.500 0.500 0.000


Record 14
TbLuTc4 | GGA-PBE | relaxed

Results
Its calculated volume is 110 Å³ per cell. The uncorrected energy comes out at -8.607 eV per atom.

Cell: 5.385 5.385 5.385 Å, 60.00 60.00 60.00°
Sites, in units of the cell vectors:
Tb 0.000 0.000 0.000
Lu 0.250 0.250 0.250
Tc 0.125 0.625 0.625
Tc 0.625 0.125 0.625
Tc 0.625 0.625 0.125
Tc 0.625 0.625 0.625


Record 15
PuMnCu | GGA-PBE | relaxed

Results
The value obtained for the energy above the lowest structure with this stoichiometry is 436 meV/atom. Its calculated volume is 54 Å³ per cell. The uncorrected energy comes out at -8.805 eV per atom.

Cell: 4.634 4.634 2.922 Å, 90.00 90.00 120.00°
Sites, in units of the cell vectors:
Pu 0.000 0.000 0.000
Mn 0.333 0.667 0.500
Cu 0.667 0.333 0.500


Record 16
Hf6Be15Pd8 | GGA-PBE | relaxed

Results
Its calculated volume is 370 Å³ per cell. The uncorrected energy comes out at -5.903 eV per atom.

Cell: 8.056 8.056 8.056 Å, 60.00 60.00 60.00°
Sites, in units of the cell vectors:
Hf 0.197 0.197 0.803
Hf 0.197 0.803 0.197
Hf 0.197 0.803 0.803
Hf 0.803 0.197 0.197
Hf 0.803 0.197 0.803
Hf 0.803 0.803 0.197
Be 0.000 0.000 0.500
Be 0.000 0.500 0.000
Be 0.000 0.500 0.500
Be 0.174 0.174 0.174
Be 0.174 0.174 0.479
Be 0.174 0.479 0.174
Be 0.479 0.174 0.174
Be 0.500 0.000 0.000
Be 0.500 0.000 0.500
Be 0.500 0.500 0.000
Be 0.500 0.500 0.500
Be 0.521 0.826 0.826
Be 0.826 0.521 0.826
Be 0.826 0.826 0.521
Be 0.826 0.826 0.826
Pd 0.125 0.625 0.625
Pd 0.375 0.375 0.375
Pd 0.375 0.375 0.875
Pd 0.375 0.875 0.375
Pd 0.625 0.125 0.625
Pd 0.625 0.625 0.125
Pd 0.625 0.625 0.625
Pd 0.875 0.375 0.375


Record 17
Tl2I2F | GGA-PBE | relaxed

Results
The value obtained for the energy above the lowest structure with this stoichiometry is 0 meV/atom. Its calculated volume is 746 Å³ per cell. The value obtained for the uncorrected formation energy is -0.93 eV/atom. The uncorrected energy comes out at -2.869 eV per atom.

Cell: 11.784 7.641 8.674 Å, 90.00 107.15 90.00°
Sites, in units of the cell vectors:
Tl 0.068 0.109 0.345
Tl 0.068 0.391 0.845
Tl 0.307 0.518 0.300
Tl 0.307 0.982 0.800
Tl 0.693 0.018 0.200
Tl 0.693 0.482 0.700
Tl 0.932 0.609 0.155
Tl 0.932 0.891 0.655
I 0.187 0.667 0.569
I 0.187 0.833 0.069
I 0.445 0.166 0.438
I 0.445 0.334 0.938
I 0.555 0.666 0.062
I 0.555 0.834 0.562
I 0.813 0.167 0.931
I 0.813 0.333 0.431
F 0.115 0.109 0.676
F 0.115 0.391 0.176
F 0.885 0.609 0.824
F 0.885 0.891 0.324


Record 18
CaNiHg2 | GGA-PBE | relaxed

Results
Its calculated volume is 93 Å³ per cell. The uncorrected energy comes out at -2.261 eV per atom.

Cell: 4.562 4.562 5.779 Å, 113.29 113.29 60.26°
Sites, in units of the cell vectors:
Ca 0.000 0.000 0.000
Ni 0.809 0.809 0.423
Hg 0.213 0.213 0.637
Hg 0.448 0.448 0.341


Record 19
CdFe2Pt | GGA-PBE | relaxed

Results
Its calculated volume is 60 Å³ per cell. The uncorrected energy comes out at -5.885 eV per atom.

Cell: 4.817 4.806 3.915 Å, 66.14 65.85 48.01°
Sites, in units of the cell vectors:
Cd 0.000 0.000 0.000
Fe 0.250 0.250 0.250
Fe 0.750 0.750 0.750
Pt 0.500 0.500 0.500


Record 20
CePmCdTc | GGA-PBE | relaxed

Results
Its calculated volume is 96 Å³ per cell. The uncorrected energy comes out at -5.473 eV per atom.

Cell: 5.143 5.143 5.143 Å, 60.00 60.00 60.00°
Sites, in units of the cell vectors:
Ce 0.000 0.000 0.000
Pm 0.500 0.500 0.500
Cd 0.750 0.750 0.750
Tc 0.250 0.250 0.250